(1)
! Cu7Ag3 | OQMD via LeMat-Bulk | GGA-PBE | optimized geometry; values from VASP
&SYSTEM
  ibrav = 0, nat = 10, ntyp = 2
/
ATOMIC_SPECIES
Cu 63.55 Cu.upf
Ag 107.87 Ag.upf
ATOMIC_POSITIONS crystal
Cu 0.000 0.000 0.000
Cu 0.198 0.198 0.617
Cu 0.504 0.504 0.524
Cu 0.588 0.588 0.803
Cu 0.682 0.682 0.094
Cu 0.812 0.812 0.442
Cu 0.902 0.902 0.705
Ag 0.113 0.113 0.318
Ag 0.294 0.294 0.903
Ag 0.386 0.386 0.215
CELL_PARAMETERS angstrom
5.459 -1.385 0.000
5.459 1.385 0.000
-1.239 0.000 9.033
! Offset from the most stable computed form (meV/atom): 33
! Space-group type: Cm (8)
! ρ (Mg/m³): 9.3

---

(2)
! LiAlSnPd | OQMD via LeMat-Bulk | GGA-PBE | optimized geometry; values from VASP
&SYSTEM
  ibrav = 0, nat = 16, ntyp = 4
/
ATOMIC_SPECIES
Li 6.94 Li.upf
Al 26.98 Al.upf
Sn 118.71 Sn.upf
Pd 106.42 Pd.upf
ATOMIC_POSITIONS crystal
Li 0.000 0.000 0.000
Li 0.000 0.500 0.500
Li 0.500 0.000 0.500
Li 0.500 0.500 0.000
Al 0.000 0.000 0.500
Al 0.000 0.500 0.000
Al 0.500 0.000 0.000
Al 0.500 0.500 0.500
Sn 0.250 0.250 0.750
Sn 0.250 0.750 0.250
Sn 0.750 0.250 0.250
Sn 0.750 0.750 0.750
Pd 0.250 0.250 0.250
Pd 0.250 0.750 0.750
Pd 0.750 0.250 0.750
Pd 0.750 0.750 0.250
CELL_PARAMETERS angstrom
6.458 0.000 0.000
0.000 6.458 0.000
0.000 0.000 6.458
! Offset from the most stable computed form (meV/atom): 77
! Space-group type: F-43m (216)
! ρ (Mg/m³): 6.4

---

Question: Which of these has the highest ρ?
Answer: Cu7Ag3

---

Question: The lowest offset from the most stable computed form belongs to which entry?
Answer: Cu7Ag3